Entry one
# Li2Co3NiO8, optimized geometry, DFT PBEsol
data_Li2Co3NiO8
_space_group_name_H-M_alt 'C 1 2/m 1'
_space_group_IT_number 12
_cell_length_a 9.5990
_cell_length_b 5.6055
_cell_length_c 5.6847
_cell_angle_alpha 90.00
_cell_angle_beta 123.81
_cell_angle_gamma 90.00
loop_
_space_group_symop_operation_xyz
'x,y,z'
'-x,-y,-z'
'-x,y,-z'
'x,-y,z'
'x+1/2,y+1/2,z'
'-x+1/2,-y+1/2,-z'
'-x+1/2,y+1/2,-z'
'x+1/2,-y+1/2,z'
loop_
_atom_site_label
_atom_site_type_symbol
_atom_site_fract_x
_atom_site_fract_y
_atom_site_fract_z
Li1 Li 0.2500 0.2500 0.0000
Co1 Co 0.0000 0.0000 0.5000
Co2 Co 0.2500 0.2500 0.5000
Ni1 Ni 0.0000 0.5000 0.5000
O1 O 0.0156 0.2486 0.2987
O2 O 0.2340 0.0000 0.7064
O3 O 0.2340 0.5000 0.7073
# * V: 254.16 Å³/cell



Entry two
# Li2Co3NiO8, optimized geometry, DFT PBEsol
data_Li2Co3NiO8
_space_group_name_H-M_alt 'C 1 2/m 1'
_space_group_IT_number 12
_cell_length_a 9.6332
_cell_length_b 5.6001
_cell_length_c 5.7016
_cell_angle_alpha 90.00
_cell_angle_beta 123.98
_cell_angle_gamma 90.00
loop_
_space_group_symop_operation_xyz
'x,y,z'
'-x,-y,-z'
'-x,y,-z'
'x,-y,z'
'x+1/2,y+1/2,z'
'-x+1/2,-y+1/2,-z'
'-x+1/2,y+1/2,-z'
'x+1/2,-y+1/2,z'
loop_
_atom_site_label
_atom_site_type_symbol
_atom_site_fract_x
_atom_site_fract_y
_atom_site_fract_z
Li1 Li 0.0000 0.0000 0.0000
Li2 Li 0.0000 0.5000 0.0000
Co1 Co 0.0000 0.0000 0.5000
Co2 Co 0.2500 0.2500 0.5000
Ni1 Ni 0.0000 0.5000 0.5000
O1 O 0.0163 0.2500 0.2931
O2 O 0.2336 0.0000 0.6987
O3 O 0.2352 0.5000 0.7008
# * V: 255.05 Å³/cell



Entry three
# Li2Co3NiO8, optimized geometry, DFT PBEsol
data_Li2Co3NiO8
_space_group_name_H-M_alt 'R 3 m'
_space_group_IT_number 160
_space_group_name_Hall 'R 3 -2"'
_cell_length_a 5.6048
_cell_length_b 5.6048
_cell_length_c 13.8753
_cell_angle_alpha 90.00
_cell_angle_beta 90.00
_cell_angle_gamma 120.00
loop_
_atom_site_label
_atom_site_type_symbol
_atom_site_fract_x
_atom_site_fract_y
_atom_site_fract_z
Li1 Li 0.0000 0.0000 0.0000
Li2 Li 0.0000 0.0000 0.3762
Co1 Co 0.0058 0.5029 0.8792
Ni1 Ni 0.0000 0.0000 0.7563
O1 O 0.0000 0.0000 0.1414
O2 O 0.0000 0.0000 0.6177
O3 O 0.0224 0.5112 0.1388
O4 O 0.1790 0.3580 0.9478
# * V: 377.48 Å³/cell



Which one sits at the bottom of the stability order? entry three does.



Entry one
# Li3Co2O5, optimized geometry, DFT PBEsol
data_Li3Co2O5
_space_group_name_H-M_alt 'C 1 2/m 1'
_space_group_IT_number 12
_cell_length_a 20.0411
_cell_length_b 2.8044
_cell_length_c 5.6644
_cell_angle_alpha 90.00
_cell_angle_beta 97.72
_cell_angle_gamma 90.00
loop_
_space_group_symop_operation_xyz
'x,y,z'
'-x,-y,-z'
'-x,y,-z'
'x,-y,z'
'x+1/2,y+1/2,z'
'-x+1/2,-y+1/2,-z'
'-x+1/2,y+1/2,-z'
'x+1/2,-y+1/2,z'
loop_
_atom_site_label
_atom_site_type_symbol
_atom_site_fract_x
_atom_site_fract_y
_atom_site_fract_z
Li1 Li 0.0000 0.0000 0.0000
Li2 Li 0.0000 0.0000 0.5000
Li3 Li 0.0920 0.5000 0.2858
Li4 Li 0.1995 0.0000 0.1017
Co1 Co 0.0976 0.5000 0.8045
Co2 Co 0.1998 0.0000 0.6003
O1 O 0.0079 0.5000 0.7519
O2 O 0.1016 0.0000 0.0255
O3 O 0.1053 0.0000 0.5785
O4 O 0.1955 0.5000 0.8235
O5 O 0.2048 0.5000 0.3780
# * V: 315.46 Å³/cell



Entry two
# Li3Co2O5, optimized geometry, DFT PBEsol
data_Li3Co2O5
_space_group_name_H-M_alt 'P -1'
_space_group_IT_number 2
_cell_length_a 4.8475
_cell_length_b 5.6475
_cell_length_c 6.2933
_cell_angle_alpha 103.49
_cell_angle_beta 97.17
_cell_angle_gamma 106.86
loop_
_space_group_symop_operation_xyz
'x,y,z'
'-x,-y,-z'
loop_
_atom_site_label
_atom_site_type_symbol
_atom_site_fract_x
_atom_site_fract_y
_atom_site_fract_z
Li1 Li 0.0000 0.0000 0.0000
Li2 Li 0.0000 0.5000 0.0000
Li3 Li 0.1972 0.4026 0.3923
Li4 Li 0.3899 0.7945 0.8056
Co1 Co 0.1988 0.8971 0.3969
Co2 Co 0.4015 0.3027 0.8036
O1 O 0.1017 0.4195 0.6954
O2 O 0.1026 0.9707 0.6868
O3 O 0.3155 0.8490 0.1256
O4 O 0.3268 0.3649 0.0912
O5 O 0.4967 0.2283 0.5155
# * V: 156.86 Å³/cell



Which one sits at the bottom of the stability order? entry one does.



Entry one
# Li9Co7O16, optimized geometry, DFT PBEsol
data_Li9Co7O16
_space_group_name_H-M_alt 'P 1 2/m 1'
_space_group_IT_number 10
_cell_length_a 4.8837
_cell_length_b 2.8080
_cell_length_c 18.4819
_cell_angle_alpha 90.00
_cell_angle_beta 94.55
_cell_angle_gamma 90.00
loop_
_space_group_symop_operation_xyz
'x,y,z'
'-x,-y,-z'
'-x,y,-z'
'x,-y,z'
loop_
_atom_site_label
_atom_site_type_symbol
_atom_site_fract_x
_atom_site_fract_y
_atom_site_fract_z
Li1 Li 0.0000 0.0000 0.0000
Li2 Li 0.0000 0.5000 0.5000
Li3 Li 0.1302 0.0000 0.3743
Li4 Li 0.2583 0.5000 0.2479
Li5 Li 0.3739 0.0000 0.1222
Li6 Li 0.5000 0.5000 0.0000
Co1 Co 0.1167 0.5000 0.8778
Co2 Co 0.2419 0.0000 0.7496
Co3 Co 0.3703 0.5000 0.6248
Co4 Co 0.5000 0.0000 0.5000
O1 O 0.0361 0.0000 0.1853
O2 O 0.0856 0.5000 0.6895
O3 O 0.1721 0.5000 0.0686
O4 O 0.2159 0.0000 0.5649
O5 O 0.2904 0.0000 0.9290
O6 O 0.3460 0.5000 0.4404
O7 O 0.3940 0.5000 0.8074
O8 O 0.4755 0.0000 0.3159
# * V: 252.65 Å³/cell



Entry two
# Li9Co7O16, optimized geometry, DFT PBEsol
data_Li9Co7O16
_space_group_name_H-M_alt 'R -3 m'
_space_group_IT_number 166
_space_group_name_Hall '-R 3 2"'
_cell_length_a 5.6178
_cell_length_b 5.6178
_cell_length_c 27.5622
_cell_angle_alpha 90.00
_cell_angle_beta 90.00
_cell_angle_gamma 120.00
loop_
_atom_site_label
_atom_site_type_symbol
_atom_site_fract_x
_atom_site_fract_y
_atom_site_fract_z
Li1 Li 0.0000 0.0000 0.0000
Li2 Li 0.0000 0.0000 0.2521
Li3 Li 0.0098 0.5049 0.7470
Co1 Co 0.0000 0.0000 0.5000
Co2 Co 0.0000 0.5000 0.0000
Co3 Co 0.0000 0.5000 0.5000
O1 O 0.0000 0.0000 0.1307
O2 O 0.0000 0.0000 0.3695
O3 O 0.0005 0.5003 0.1310
O4 O 0.0178 0.5089 0.3707
# * V: 753.31 Å³/cell



Which one sits at the bottom of the stability order? entry one does.